[1]
4
Lattice="3.493 0.000 0.000 0.000 3.493 0.000 0.000 0.000 6.985" Properties=species:S:1:pos:R:3 comment="Al2InAs GGA-PBE optimized geometry" m_tot_mub_per_atom=0.000 density_g_cm3=4.75 delta_e_f_mev_per_atom=69 pbc="T T T"
Al 0.000 0.000 0.000
Al 1.747 1.747 1.625
In 1.747 1.747 5.131
As 0.000 0.000 2.603

[2]
4
Lattice="2.021 1.167 9.869 -2.021 1.167 9.869 0.000 -2.334 9.869" Properties=species:S:1:pos:R:3 comment="SrTl2Cl GGA-PBE optimized geometry" m_tot_mub_per_atom=0.000 density_g_cm3=6.33 formation_energy_uncorrected_mev_per_atom=-382 pbc="T T T"
Sr 0.000 0.000 0.000
Tl 0.000 0.000 7.072
Tl 0.000 0.000 22.534
Cl 0.000 0.000 14.803

[3]
4
Lattice="3.788 0.000 0.000 0.000 3.788 0.000 0.000 0.000 3.680" Properties=species:S:1:pos:R:3 comment="V2CuOs GGA-PBE optimized geometry" m_tot_mub_per_atom=0.000 density_g_cm3=11.18 delta_e_f_mev_per_atom=-51 pbc="T T T"
V 0.000 1.894 0.000
V 1.894 0.000 0.000
Cu 0.000 0.000 1.840
Os 1.894 1.894 1.840

[4]
12
Lattice="2.534 -2.553 0.000 2.534 2.553 0.000 0.000 0.000 11.366" Properties=species:S:1:pos:R:3 comment="Mn2FeNi7As2 GGA-PBE optimized geometry" m_tot_mub_per_atom=0.963 density_g_cm3=8.20 delta_e_f_mev_per_atom=-63 pbc="T T T"
Mn 0.000 0.000 2.027
Mn 0.000 0.000 9.339
Fe 2.534 0.000 5.683
Ni 0.000 0.000 5.683
Ni 1.267 1.277 3.932
Ni 1.267 1.277 7.433
Ni 2.534 1.217 0.000
Ni 1.267 -1.277 3.932
Ni 1.267 -1.277 7.433
Ni 2.534 -1.217 0.000
As 2.534 0.000 2.169
As 2.534 0.000 9.196